[1]
Material: SbPO2F
Method: DFT, GGA-PBEsol
State: optimized geometry

Cell: 3.8677 3.8677 4.1655 Å, 90.00 90.00 90.00°
Closest atoms and distances in Å follow each position.
Space group P4/mmm (No. 123)
One atom of each set of equivalent atoms:
Sb 0.0000 0.0000 0.0000 (multiplicity 1)  4 F 2.73, 8 O 2.84
P 0.5000 0.5000 0.5000 (multiplicity 1)  4 O 1.93, 2 F 2.08
O 0.0000 0.5000 0.5000 (multiplicity 2)  2 P 1.93
F 0.5000 0.5000 0.0000 (multiplicity 1)  2 P 2.08

For the uncorrected formation energy, the calculation gives -0.639 eV per atom. The calculation puts the total magnetization at 0.000 μB/atom. Its uncorrected energy is -5.194 eV/atom. The value obtained for the density of states at the Fermi level is 0.37 states/eV per atom.


[2]
Material: Cr2SbCl
Method: DFT, GGA-PBEsol
State: optimized geometry

Cell: 3.3252 3.6550 6.7934 Å, 90.00 90.00 90.00°
Closest atoms and distances in Å follow each position.
Space group Pmmm (No. 47)
One atom of each set of equivalent atoms:
Cr 0.0000 0.0000 0.2118 (multiplicity 2)  2 Cl 2.57, 4 Sb 2.86
Sb 0.5000 0.5000 0.0000 (multiplicity 1)  8 Cr 2.86
Cl 0.5000 0.0000 0.5000 (multiplicity 1)  4 Cr 2.57

The energy above the most stable polymorph in this dataset is 0.000 eV per atom. For the uncorrected formation energy, the calculation gives 0.203 eV per atom. The calculation puts the total magnetization at 2.028 μB/atom. Its uncorrected energy is -6.559 eV/atom. The value obtained for the density of states at the Fermi level is 0.49 states/eV per atom.


[3]
Material: FeCuAu2
Method: DFT, GGA-PBEsol
State: optimized geometry

Cell: 2.7926 2.7926 25.7540 Å, 90.00 90.00 120.00°
Closest atoms and distances in Å follow each position.
Space group R-3m (No. 166, hexagonal axes)
One atom of each set of equivalent atoms:
Fe 0.0000 0.0000 0.0000 (multiplicity 3)  6 Au 2.69, 6 Fe 2.79
Cu 0.0000 0.0000 0.5000 (multiplicity 3)  6 Au 2.67, 6 Cu 2.79
Au 0.0000 0.0000 0.2495 (multiplicity 6)  3 Cu 2.67, 3 Fe 2.69, 6 Au 2.79

The calculation puts the total magnetization at 0.706 μB/atom. Its uncorrected energy is -5.134 eV/atom. For the calculated formation energy, the calculation gives 0.61 eV/f.u. The value obtained for the density of states at the Fermi level is 0.65 states/eV per atom.


[4]
Material: Be4AlNi
Method: DFT, GGA-PBEsol
State: optimized geometry

Cell: 5.9896 5.9896 5.9896 Å, 90.00 90.00 90.00°
Closest atoms and distances in Å follow each position.
Space group F-43m (No. 216)
One atom of each set of equivalent atoms:
Be 0.1239 0.1239 0.3761 (multiplicity 16)  6 Be 2.10-2.14
Al 0.0000 0.0000 0.0000 (multiplicity 4)  12 Be 2.49, 4 Ni 2.59
Ni 0.2500 0.2500 0.7500 (multiplicity 4)  12 Be 2.48, 4 Al 2.59

The calculation puts the total magnetization at 0.000 μB/atom. Its uncorrected energy is -4.667 eV/atom. For the calculated formation energy, the calculation gives -1.75 eV/f.u. The value obtained for the density of states at the Fermi level is 0.25 states/eV per atom.


[5]
Material: CoRuS4
Method: DFT, GGA-PBEsol
State: optimized geometry

Cell: 5.4661 5.5074 5.5152 Å, 90.00 90.47 90.00°
Closest atoms and distances in Å follow each position.
Space group P2_1/c (No. 14)
One atom of each set of equivalent atoms:
Co 0.0000 0.0000 0.0000 (multiplicity 2)  6 S 2.25-2.30
Ru 0.5000 0.0000 0.5000 (multiplicity 2)  6 S 2.31-2.32
S 0.1099 0.1178 0.6153 (multiplicity 4)  1 S 2.17, 2 Co 2.28-2.30, 1 Ru 2.32
S 0.3801 0.6122 0.6123 (multiplicity 4)  1 S 2.19, 1 Co 2.25, 2 Ru 2.31-2.32

For the uncorrected formation energy, the calculation gives -0.576 eV per atom. The calculation puts the total magnetization at 0.154 μB/atom. Its uncorrected energy is -6.483 eV/atom. The value obtained for the density of states at the Fermi level is 0.28 states/eV per atom.


[6]
Material: TaAlZn2
Method: DFT, GGA-PBEsol
State: optimized geometry

Cell: 3.8770 3.8770 3.9191 Å, 90.00 90.00 90.00°
Closest atoms and distances in Å follow each position.
Space group P4/mmm (No. 123)
One atom of each set of equivalent atoms:
Ta 0.0000 0.0000 0.0000 (multiplicity 1)  4 Al 2.74, 8 Zn 2.76
Al 0.5000 0.5000 0.0000 (multiplicity 1)  4 Ta 2.74, 8 Zn 2.76
Zn 0.0000 0.5000 0.5000 (multiplicity 2)  4 Zn 2.74, 4 Ta 2.76, 4 Al 2.76

The calculation puts the total magnetization at 0.000 μB/atom. Its uncorrected energy is -5.134 eV/atom. For the calculated formation energy, the calculation gives -0.73 eV/f.u. The value obtained for the density of states at the Fermi level is 0.23 states/eV per atom.